[1]
Density functional theory data (GGA-PBE) for crystalline NdNpSeN2 at its relaxed geometry. Values from VASP.

Cell and atoms, written as Quantum ESPRESSO input:
```
&SYSTEM
  ibrav = 0, nat = 5, ntyp = 4
/
ATOMIC_SPECIES
N 14.01 N.upf
Np 237.00 Np.upf
Nd 144.24 Nd.upf
Se 78.96 Se.upf
CELL_PARAMETERS angstrom
3.860 0.000 0.000
0.000 3.860 0.000
-1.930 -1.930 6.237
ATOMIC_POSITIONS crystal
N 0.740 0.240 0.480
N 0.240 0.740 0.480
Np 0.163 0.163 0.327
Nd 0.852 0.852 0.704
Se 0.505 0.505 0.009
```

## Properties
DOS(E_F) (states/eV per cell): 6.0
Calculated volume (Å³/cell): 92.9
Formation energy (no corrections) (kJ/mol of atoms): -130

---

[2]
Density functional theory data (GGA-PBE) for crystalline NdNpSe2N at its relaxed geometry. Values from VASP.

Cell and atoms, written as Quantum ESPRESSO input:
```
&SYSTEM
  ibrav = 0, nat = 10, ntyp = 4
/
ATOMIC_SPECIES
Np 237.00 Np.upf
N 14.01 N.upf
Nd 144.24 Nd.upf
Se 78.96 Se.upf
CELL_PARAMETERS angstrom
3.973 0.000 0.000
0.000 3.973 0.000
0.000 0.000 14.966
ATOMIC_POSITIONS crystal
Np 0.500 0.000 0.573
Np 0.000 0.500 0.427
N 0.500 0.500 0.500
N 0.000 0.000 0.500
Nd 0.500 0.000 0.133
Nd 0.000 0.500 0.867
Se 0.500 0.000 0.321
Se 0.000 0.500 0.679
Se 0.000 0.500 0.087
Se 0.500 0.000 0.913
```

## Properties
DOS(E_F) (states/eV per cell): 18.4
Calculated volume (Å³/cell): 236.2
Formation energy (no corrections) (kJ/mol of atoms): -144

---

[3]
Density functional theory data (GGA-PBE) for crystalline Nd2NpSe2N2 at its relaxed geometry. Values from VASP.

Cell and atoms, written as Quantum ESPRESSO input:
```
&SYSTEM
  ibrav = 0, nat = 7, ntyp = 4
/
ATOMIC_SPECIES
Se 78.96 Se.upf
N 14.01 N.upf
Nd 144.24 Nd.upf
Np 237.00 Np.upf
CELL_PARAMETERS angstrom
3.976 0.000 0.000
1.988 6.135 0.007
1.988 2.324 6.167
ATOMIC_POSITIONS crystal
Se 0.429 0.801 0.341
Se 0.571 0.199 0.659
N 0.816 0.298 0.070
N 0.184 0.702 0.930
Nd 0.805 0.645 0.744
Nd 0.195 0.355 0.256
Np 0.000 0.000 0.000
```

## Properties
DOS(E_F) (states/eV per cell): 4.6
Calculated volume (Å³/cell): 150.3
Formation energy (no corrections) (kJ/mol of atoms): -153

---

[4]
Density functional theory data (GGA-PBE) for crystalline NdSmNpN3 at its relaxed geometry. Values from VASP.

Cell and atoms, written as Quantum ESPRESSO input:
```
&SYSTEM
  ibrav = 0, nat = 12, ntyp = 4
/
ATOMIC_SPECIES
N 14.01 N.upf
Nd 144.24 Nd.upf
Sm 150.36 Sm.upf
Np 237.00 Np.upf
CELL_PARAMETERS angstrom
3.661 0.000 0.000
0.000 7.314 0.863
0.000 -2.004 8.386
ATOMIC_POSITIONS crystal
N 0.250 0.612 0.879
N 0.750 0.388 0.121
N 0.250 0.785 0.420
N 0.750 0.900 0.154
N 0.250 0.100 0.846
N 0.750 0.215 0.580
Nd 0.750 0.839 0.868
Nd 0.250 0.161 0.132
Sm 0.750 0.377 0.843
Sm 0.250 0.623 0.157
Np 0.250 0.057 0.590
Np 0.750 0.943 0.410
```

## Properties
DOS(E_F) (states/eV per cell): 5.9
Calculated volume (Å³/cell): 230.9
Formation energy (no corrections) (kJ/mol of atoms): -96

---

[5]
Density functional theory data (GGA-PBE) for crystalline Nd2SmNpN4 at its relaxed geometry. Values from VASP.

Cell and atoms, written as Quantum ESPRESSO input:
```
&SYSTEM
  ibrav = 0, nat = 8, ntyp = 4
/
ATOMIC_SPECIES
Np 237.00 Np.upf
Sm 150.36 Sm.upf
N 14.01 N.upf
Nd 144.24 Nd.upf
CELL_PARAMETERS angstrom
-1.852 -2.736 1.355
1.509 -3.437 -4.876
4.296 -0.738 4.381
ATOMIC_POSITIONS crystal
Np 0.000 0.000 0.000
Sm 0.500 0.500 0.000
N 0.500 0.229 0.226
N 0.000 0.232 0.775
N 0.500 0.771 0.774
N 0.000 0.768 0.225
Nd 0.500 0.000 0.500
Nd 0.000 0.500 0.500
```

## Properties
DOS(E_F) (states/eV per cell): 5.7
Calculated volume (Å³/cell): 128.4
Formation energy (no corrections) (kJ/mol of atoms): -130

---

[6]
Density functional theory data (GGA-PBE) for crystalline Nd2Sm3NpN6 at its relaxed geometry. Values from VASP.

Cell and atoms, written as Quantum ESPRESSO input:
```
&SYSTEM
  ibrav = 0, nat = 12, ntyp = 4
/
ATOMIC_SPECIES
N 14.01 N.upf
Sm 150.36 Sm.upf
Nd 144.24 Nd.upf
Np 237.00 Np.upf
CELL_PARAMETERS angstrom
6.192 0.000 0.000
-3.094 5.364 0.000
-1.033 -1.789 5.810
ATOMIC_POSITIONS crystal
N 0.921 0.616 0.763
N 0.384 0.079 0.237
N 0.079 0.384 0.237
N 0.774 0.774 0.238
N 0.616 0.921 0.763
N 0.226 0.226 0.762
Sm 0.166 0.834 0.500
Sm 0.500 0.500 0.500
Sm 0.834 0.166 0.500
Nd 0.667 0.333 0.000
Nd 0.333 0.667 0.000
Np 0.000 0.000 0.000
```

## Properties
DOS(E_F) (states/eV per cell): 6.6
Calculated volume (Å³/cell): 193.0
Formation energy (no corrections) (kJ/mol of atoms): -136

---

[7]
Density functional theory data (GGA-PBE) for crystalline Nd2NpSnN5 at its relaxed geometry. Values from VASP.

Cell and atoms, written as Quantum ESPRESSO input:
```
&SYSTEM
  ibrav = 0, nat = 18, ntyp = 4
/
ATOMIC_SPECIES
Sn 118.71 Sn.upf
N 14.01 N.upf
Nd 144.24 Nd.upf
Np 237.00 Np.upf
CELL_PARAMETERS angstrom
-1.136 -1.581 2.907
-2.655 -4.184 -5.417
8.894 -5.952 0.238
ATOMIC_POSITIONS crystal
Sn 0.481 0.962 0.468
Sn 0.519 0.038 0.968
N 0.720 0.439 0.141
N 0.280 0.561 0.641
N 0.505 0.010 0.277
N 0.368 0.737 0.005
N 0.304 0.608 0.379
N 0.632 0.263 0.505
N 0.942 0.884 0.561
N 0.495 0.990 0.777
N 0.058 0.116 0.061
N 0.696 0.392 0.879
Nd 0.110 0.221 0.696
Nd 0.866 0.733 0.790
Nd 0.134 0.267 0.290
Nd 0.890 0.779 0.196
Np 0.216 0.433 0.009
Np 0.784 0.567 0.509
```

## Properties
DOS(E_F) (states/eV per cell): 10.4
Calculated volume (Å³/cell): 267.0
Formation energy (no corrections) (kJ/mol of atoms): -82

---

[8]
Density functional theory data (GGA-PBE) for crystalline SrNdNpN4 at its relaxed geometry. Values from VASP.

Cell and atoms, written as Quantum ESPRESSO input:
```
&SYSTEM
  ibrav = 0, nat = 7, ntyp = 4
/
ATOMIC_SPECIES
N 14.01 N.upf
Nd 144.24 Nd.upf
Np 237.00 Np.upf
Sr 87.62 Sr.upf
CELL_PARAMETERS angstrom
4.210 0.000 0.000
0.000 4.210 0.000
-2.105 -2.105 6.365
ATOMIC_POSITIONS crystal
N 0.008 0.508 0.017
N 0.158 0.158 0.315
N 0.508 0.008 0.017
N 0.834 0.834 0.668
Nd 0.644 0.644 0.289
Np 0.997 0.997 0.994
Sr 0.350 0.350 0.701
```

## Properties
Calculated volume (Å³/cell): 112.8
Formation energy (no corrections) (kJ/mol of atoms): -99

---

[9]
Density functional theory data (GGA-PBE) for crystalline SrNd2Np3N8 at its relaxed geometry. Values from VASP.

Cell and atoms, written as Quantum ESPRESSO input:
```
&SYSTEM
  ibrav = 0, nat = 14, ntyp = 4
/
ATOMIC_SPECIES
Np 237.00 Np.upf
N 14.01 N.upf
Sr 87.62 Sr.upf
Nd 144.24 Nd.upf
CELL_PARAMETERS angstrom
-2.285 -3.212 -5.739
4.479 -1.714 -5.047
1.608 -6.758 -1.082
ATOMIC_POSITIONS crystal
Np 0.500 0.997 0.002
Np 0.500 0.500 0.002
Np 0.997 0.500 0.002
N 0.743 0.320 0.195
N 0.320 0.743 0.195
N 0.252 0.696 0.799
N 0.743 0.743 0.195
N 0.267 0.267 0.199
N 0.696 0.252 0.799
N 0.252 0.252 0.799
N 0.726 0.726 0.821
Sr 0.879 0.879 0.363
Nd 0.117 0.117 0.649
Nd 0.500 0.500 0.501
```

## Properties
DOS(E_F) (states/eV per cell): 11.1
Calculated volume (Å³/cell): 242.1
Formation energy (no corrections) (kJ/mol of atoms): -110

---

[10]
Density functional theory data (GGA-PBE) for crystalline SrNdNpN3 at its relaxed geometry. Values from VASP.

Cell and atoms, written as Quantum ESPRESSO input:
```
&SYSTEM
  ibrav = 0, nat = 12, ntyp = 4
/
ATOMIC_SPECIES
Nd 144.24 Nd.upf
N 14.01 N.upf
Np 237.00 Np.upf
Sr 87.62 Sr.upf
CELL_PARAMETERS angstrom
3.703 0.000 0.000
0.000 7.726 0.772
0.000 -2.207 8.470
ATOMIC_POSITIONS crystal
Nd 0.750 0.390 0.843
Nd 0.250 0.610 0.157
N 0.250 0.093 0.824
N 0.250 0.595 0.885
N 0.750 0.907 0.176
N 0.250 0.797 0.423
N 0.750 0.203 0.577
N 0.750 0.405 0.115
Np 0.750 0.944 0.407
Np 0.250 0.056 0.593
Sr 0.250 0.167 0.137
Sr 0.750 0.833 0.863
```

## Properties
DOS(E_F) (states/eV per cell): 4.0
Calculated volume (Å³/cell): 248.6
Formation energy (no corrections) (kJ/mol of atoms): -82

---

[11]
Density functional theory data (GGA-PBE) for crystalline SrNd2NpN4 at its relaxed geometry. Values from VASP.

Cell and atoms, written as Quantum ESPRESSO input:
```
&SYSTEM
  ibrav = 0, nat = 16, ntyp = 4
/
ATOMIC_SPECIES
Sr 87.62 Sr.upf
Np 237.00 Np.upf
N 14.01 N.upf
Nd 144.24 Nd.upf
CELL_PARAMETERS angstrom
-0.008 0.095 -3.662
-1.543 -6.160 1.675
-12.442 3.147 0.109
ATOMIC_POSITIONS crystal
Sr 0.867 0.734 0.250
Sr 0.133 0.266 0.750
Np 0.866 0.732 0.750
Np 0.134 0.268 0.250
N 0.245 0.491 0.379
N 0.245 0.491 0.121
N 0.538 0.077 0.250
N 0.462 0.923 0.750
N 0.000 0.000 0.500
N 0.000 0.000 0.000
N 0.755 0.509 0.621
N 0.755 0.509 0.879
Nd 0.370 0.741 0.523
Nd 0.630 0.259 0.023
Nd 0.630 0.259 0.477
Nd 0.370 0.741 0.977
```

## Properties
DOS(E_F) (states/eV per cell): 11.5
Calculated volume (Å³/cell): 296.5
Formation energy (no corrections) (kJ/mol of atoms): -92

---

[12]
Density functional theory data (GGA-PBE) for crystalline Nd3Np3TaN8 at its relaxed geometry. Values from VASP.

Cell and atoms, written as Quantum ESPRESSO input:
```
&SYSTEM
  ibrav = 0, nat = 15, ntyp = 4
/
ATOMIC_SPECIES
N 14.01 N.upf
Nd 144.24 Nd.upf
Ta 180.95 Ta.upf
Np 237.00 Np.upf
CELL_PARAMETERS angstrom
-5.843 -0.180 -3.525
0.632 -3.628 5.748
-0.465 6.995 0.412
ATOMIC_POSITIONS crystal
N 0.221 0.442 0.697
N 0.245 0.024 0.303
N 0.221 0.976 0.697
N 0.740 0.481 0.721
N 0.755 0.976 0.697
N 0.260 0.519 0.279
N 0.779 0.024 0.303
N 0.779 0.558 0.303
Nd 0.500 0.500 0.000
Nd 0.000 0.500 0.000
Nd 0.000 0.000 0.000
Ta 0.000 0.000 0.500
Np 0.500 0.500 0.500
Np 0.500 0.000 0.500
Np 0.000 0.500 0.500
```

## Properties
DOS(E_F) (states/eV per cell): 20.6
Calculated volume (Å³/cell): 234.6
Formation energy (no corrections) (kJ/mol of atoms): -114

---

One value per record, in order, for final energy: -8.92; -8.09; -8.17; -8.89; -8.91; -8.62; -8.42; -8.56; -9.47; -8.25; -8.13; -9.96 eV per atom.